[1]
VASP calculation (PBE) on an optimized crystal structure of Na2NdZrTe4.

Cell: 7.5290 4.2984 8.0839 Å, 90.00 107.74 90.00°
Space group P2/m (No. 10)
One atom of each set of equivalent atoms:
Na: 0.0000 0.0000 0.0000 [1 per cell]
Na: 0.5000 0.5000 0.0000 [1 per cell]
Nd: 0.0000 0.5000 0.5000 [1 per cell]
Zr: 0.5000 0.0000 0.5000 [1 per cell]
Te: 0.2636 0.0000 0.7374 [2 per cell]
Te: 0.2737 0.5000 0.2722 [2 per cell]

Formation energy (no corrections), eV/atom: -1.087
Magnetic moment, Bohr magnetons per cell: 0.000

***

[2]
VASP calculation (PBE) on an optimized crystal structure of Li2AlAu.

Cell: 2.8331 4.6179 10.5645 Å, 90.00 90.00 90.00°
Space group Immm (No. 71)
One atom of each set of equivalent atoms:
Li: 0.0000 0.0000 0.2399 [4 per cell]
Al: 0.0000 0.0000 0.5000 [2 per cell]
Au: 0.0000 0.0000 0.0000 [2 per cell]

Magnetic moment, Bohr magnetons per cell: 0.000
Formation enthalpy at 0 K, kJ/mol of formula units: -38

***

[3]
VASP calculation (PBE) on an optimized crystal structure of Y3Er2Bi2.

Cell: 12.2299 4.3064 8.5534 Å, 90.00 107.70 90.00°
Space group C2/m (No. 12)
One atom of each set of equivalent atoms:
Y: 0.0000 0.0000 0.0000 [2 per cell]
Y: 0.1255 0.0000 0.4450 [4 per cell]
Er: 0.1231 0.5000 0.7684 [4 per cell]
Bi: 0.1778 0.5000 0.1870 [4 per cell]

Magnetic moment, Bohr magnetons per cell: 0.005
Formation enthalpy at 0 K, kJ/mol of formula units: -314

***

[4]
VASP calculation (PBE) on an optimized crystal structure of CuRhAu2.

Cell: 2.8457 2.8457 7.7430 Å, 90.00 90.00 90.00°
Space group P4mm (No. 99)
One atom of each set of equivalent atoms:
Cu: 0.0000 0.0000 0.0000 [1 per cell]
Rh: 0.5000 0.5000 0.2149 [1 per cell]
Au: 0.0000 0.0000 0.4767 [1 per cell]
Au: 0.5000 0.5000 0.7635 [1 per cell]

Magnetic moment, Bohr magnetons per cell: 0.647
Energy relative to the lowest polymorph listed for this composition, meV per atom: 16
Formation enthalpy at 0 K, kJ/mol of formula units: 30

***

[5]
VASP calculation (PBE) on an optimized crystal structure of AcBePd6Au.

Cell: 5.9701 9.4040 11.7985 Å, 90.00 90.00 90.00°
Space group Imma (No. 74)
One atom of each set of equivalent atoms:
Ac: 0.0000 0.2500 0.1775 [4 per cell]
Be: 0.0000 0.0000 0.5000 [4 per cell]
Pd: 0.0000 0.2500 0.4515 [4 per cell]
Pd: 0.0000 0.2500 0.9442 [4 per cell]
Pd: 0.2424 0.0077 0.8741 [16 per cell]
Au: 0.2500 0.2500 0.7500 [4 per cell]

Magnetic moment, Bohr magnetons per cell: 0.000
Formation enthalpy at 0 K, kJ/mol of formula units: -171

***

[6]
VASP calculation (PBE) on an optimized crystal structure of AcPr2ThN4.

Cell: 6.4526 3.7365 6.4968 Å, 90.00 109.38 90.00°
Space group P2/m (No. 10)
One atom of each set of equivalent atoms:
Ac: 0.0000 0.0000 0.0000 [1 per cell]
Pr: 0.5000 0.0000 0.5000 [1 per cell]
Pr: 0.5000 0.5000 0.0000 [1 per cell]
Th: 0.0000 0.5000 0.5000 [1 per cell]
N: 0.2406 0.0000 0.7328 [2 per cell]
N: 0.2478 0.5000 0.2683 [2 per cell]

Formation energy (no corrections), eV/atom: -1.326
Magnetic moment, Bohr magnetons per cell: 0.000

***

[7]
VASP calculation (PBE) on an optimized crystal structure of Pr12Te5N3.

Cell: 17.7247 17.7247 17.7247 Å, 90.00 90.00 90.00°
Space group Ia-3d (No. 230)
One atom of each set of equivalent atoms:
Pr: 0.0165 0.1143 0.6402 [96 per cell]
Te: 0.0000 0.0000 0.0000 [16 per cell]
Te: 0.0000 0.2500 0.3750 [24 per cell]
N: 0.0000 0.2500 0.1250 [24 per cell]

Formation energy (no corrections), eV/atom: -0.400
Magnetic moment, Bohr magnetons per cell: 29.971

***

[8]
VASP calculation (PBE) on an optimized crystal structure of AlZn4Cu5.

Cell: 7.5641 7.5641 5.0665 Å, 90.00 90.00 90.00°
Space group I4 (No. 79)
One atom of each set of equivalent atoms:
Al: 0.0000 0.0000 0.0000 [2 per cell]
Zn: 0.0624 0.6680 0.2428 [8 per cell]
Cu: 0.0000 0.0000 0.4608 [2 per cell]
Cu: 0.1210 0.7585 0.7341 [8 per cell]

Magnetic moment, Bohr magnetons per cell: 0.000
Energy relative to the lowest polymorph listed for this composition, meV per atom: 243
Formation enthalpy at 0 K, kJ/mol of formula units: 122

***

[9]
VASP calculation (PBE) on an optimized crystal structure of BeGa2Cu2.

Cell: 6.0169 6.0169 3.8181 Å, 90.00 90.00 90.00°
Space group P4/mbm (No. 127)
One atom of each set of equivalent atoms:
Be: 0.0000 0.0000 0.0000 [2 per cell]
Ga: 0.1628 0.3372 0.5000 [4 per cell]
Cu: 0.1499 0.6499 0.0000 [4 per cell]

Magnetic moment, Bohr magnetons per cell: 0.000
Energy relative to the lowest polymorph listed for this composition, meV per atom: 0
Formation enthalpy at 0 K, kJ/mol of formula units: 70

***

[10]
VASP calculation (PBE) on an optimized crystal structure of Mn5Tc3.

Cell: 7.2703 7.4682 3.7472 Å, 90.00 90.00 90.00°
Space group Cmmm (No. 65)
One atom of each set of equivalent atoms:
Mn: 0.0000 0.0000 0.0000 [2 per cell]
Mn: 0.2474 0.0000 0.5000 [4 per cell]
Mn: 0.2500 0.2500 0.0000 [4 per cell]
Tc: 0.0000 0.2428 0.5000 [4 per cell]
Tc: 0.0000 0.5000 0.0000 [2 per cell]

Magnetic moment, Bohr magnetons per cell: 6.822
Energy relative to the lowest polymorph listed for this composition, meV per atom: 0
Formation enthalpy at 0 K, kJ/mol of formula units: 61

***

[11]
VASP calculation (PBE) on an optimized crystal structure of ZrSiAg3.

Cell: 4.6999 4.6999 4.6999 Å, 90.00 90.00 90.00°
Space group Pm-3m (No. 221)
One atom of each set of equivalent atoms:
Zr: 0.0000 0.0000 0.0000 [1 per cell]
Si: 0.5000 0.5000 0.5000 [1 per cell]
Ag: 0.0000 0.5000 0.5000 [3 per cell]

Formation energy (no corrections), eV/atom: 0.489
Magnetic moment, Bohr magnetons per cell: 0.223
Energy relative to the lowest polymorph listed for this composition, meV per atom: 0

***

[12]
VASP calculation (PBE) on an optimized crystal structure of TlZnRe2.

Cell: 6.4257 6.4257 6.4257 Å, 90.00 90.00 90.00°
Space group F-43m (No. 216)
One atom of each set of equivalent atoms:
Tl: 0.0000 0.0000 0.0000 [4 per cell]
Zn: 0.2500 0.2500 0.2500 [4 per cell]
Re: 0.0000 0.0000 0.5000 [4 per cell]
Re: 0.2500 0.2500 0.7500 [4 per cell]

Magnetic moment, Bohr magnetons per cell: 0.000
Energy relative to the lowest polymorph listed for this composition, meV per atom: 466
Formation enthalpy at 0 K, kJ/mol of formula units: 324

***

[13]
VASP calculation (PBE) on an optimized crystal structure of Zr2SnMoH.

Cell: 4.5909 4.5909 3.9247 Å, 90.00 90.00 90.00°
Space group P4/mmm (No. 123)
One atom of each set of equivalent atoms:
Zr: 0.0000 0.5000 0.0000 [2 per cell]
Sn: 0.0000 0.0000 0.5000 [1 per cell]
Mo: 0.5000 0.5000 0.5000 [1 per cell]
H: 0.5000 0.5000 0.0000 [1 per cell]

Magnetic moment, Bohr magnetons per cell: 0.002
DFT total energy, eV/cell: -36.8

***

[14]
VASP calculation (PBE) on an optimized crystal structure of HfAg.

Cell: 6.1504 6.1504 6.1504 Å, 90.00 90.00 90.00°
Space group F-43m (No. 216)
One atom of each set of equivalent atoms:
Hf: 0.0000 0.0000 0.0000 [4 per cell]
Ag: 0.2500 0.2500 0.2500 [4 per cell]

Magnetic moment, Bohr magnetons per cell: 0.000
Formation enthalpy at 0 K, kJ/mol of formula units: 244

***

[15]
VASP calculation (PBE) on an optimized crystal structure of KZnAu3.

Cell: 9.8300 10.3677 9.7506 Å, 90.00 90.00 90.00°
Space group Cmcm (No. 63)
One atom of each set of equivalent atoms:
K: 0.0000 0.0359 0.2500 [4 per cell]
K: 0.0000 0.3832 0.7500 [4 per cell]
Zn: 0.2500 0.2500 0.0000 [8 per cell]
Au: 0.0000 0.3165 0.0662 [8 per cell]
Au: 0.2146 0.5000 0.0000 [8 per cell]
Au: 0.2203 0.3477 0.2500 [8 per cell]

Magnetic moment, Bohr magnetons per cell: 0.000
Energy relative to the lowest polymorph listed for this composition, meV per atom: 0
Formation enthalpy at 0 K, kJ/mol of formula units: -106

***

[16]
VASP calculation (PBE) on an optimized crystal structure of LiSmTl.

Cell: 5.0244 5.0244 6.7626 Å, 90.00 90.00 120.00°
Space group P6_3/mmc (No. 194)
One atom of each set of equivalent atoms:
Li: 0.3333 0.6667 0.2500 [2 per cell]
Sm: 0.0000 0.0000 0.0000 [2 per cell]
Tl: 0.3333 0.6667 0.7500 [2 per cell]

Magnetic moment, Bohr magnetons per cell: 0.022
Energy relative to the lowest polymorph listed for this composition, meV per atom: 2
Formation enthalpy at 0 K, kJ/mol of formula units: -81

***

[17]
VASP calculation (PBE) on an optimized crystal structure of KTa2IN.

Cell: 4.2122 4.2122 7.5112 Å, 90.00 90.00 90.00°
Space group P4/mmm (No. 123)
One atom of each set of equivalent atoms:
K: 0.0000 0.0000 0.0000 [1 per cell]
Ta: 0.0000 0.5000 0.5000 [2 per cell]
I: 0.5000 0.5000 0.0000 [1 per cell]
N: 0.5000 0.5000 0.5000 [1 per cell]

Formation energy (no corrections), eV/atom: 0.308
Magnetic moment, Bohr magnetons per cell: 1.327

***

[18]
VASP calculation (PBE) on an optimized crystal structure of RbCr3N.

Cell: 6.4699 6.4699 6.4699 Å, 90.00 90.00 90.00°
Space group Pm-3m (No. 221)
One atom of each set of equivalent atoms:
Rb: 0.0000 0.0000 0.0000 [1 per cell]
Cr: 0.0000 0.0000 0.5000 [3 per cell]
N: 0.5000 0.5000 0.5000 [1 per cell]

Formation energy (no corrections), eV/atom: 3.195
Magnetic moment, Bohr magnetons per cell: 14.093
Energy relative to the lowest polymorph listed for this composition, meV per atom: 2064

***

[19]
VASP calculation (PBE) on an optimized crystal structure of Li2TlAg2Pd2.

Cell: 4.5327 4.5327 19.5171 Å, 90.00 90.00 120.00°
Space group R-3m (No. 166, hexagonal axes)
One atom of each set of equivalent atoms:
Li: 0.0000 0.0000 0.2190 [6 per cell]
Tl: 0.0000 0.0000 0.5000 [3 per cell]
Ag: 0.0000 0.0000 0.3531 [6 per cell]
Pd: 0.0000 0.0000 0.0764 [6 per cell]

Magnetic moment, Bohr magnetons per cell: 0.000
Formation enthalpy at 0 K, kJ/mol of formula units: -138

***

[20]
VASP calculation (PBE) on an optimized crystal structure of CePmSe2N.

Cell: 4.0528 4.0528 14.8956 Å, 90.00 90.00 90.00°
Space group P4/nmm (No. 129, origin choice 2)
One atom of each set of equivalent atoms:
Ce: 0.2500 0.2500 0.0743 [2 per cell]
Pm: 0.2500 0.2500 0.6309 [2 per cell]
Se: 0.2500 0.2500 0.4115 [2 per cell]
Se: 0.2500 0.2500 0.8132 [2 per cell]
N: 0.2500 0.7500 0.0000 [2 per cell]

Formation energy (no corrections), eV/atom: -1.700
Magnetic moment, Bohr magnetons per cell: 0.000